[1]
The following is a PBE calculation of an optimized crystal structure of Ho3Ga3Cu8, from Alexandria.

Properties
symmetry = Immm, No. 71
density = 8.74 g/cm3
crystal system = orthorhombic
total DFT energy (no corrections) = -59.79 eV for the cell shown
calculated volume = 230 Å³/cell
magnetization = 0.00 μB/f.u.

abc: 4.157 7.936 7.936
angles: 67.98 74.82 74.82
Sites, in units of the cell vectors:
Cu 0.170 0.472 0.189
Cu 0.631 0.652 0.086
Cu 0.631 0.086 0.652
Cu 0.830 0.811 0.528
Cu 0.369 0.348 0.914
Cu 0.830 0.528 0.811
Cu 0.170 0.189 0.472
Cu 0.369 0.914 0.348
Ga 0.000 0.785 0.215
Ga 0.500 0.000 0.000
Ga 0.000 0.215 0.785
Ho 0.500 0.500 0.500
Ho 0.798 0.202 0.202
Ho 0.202 0.798 0.798

***

[2]
The following is a PBE calculation of an optimized crystal structure of Ho6GaCu5, from Alexandria.

Properties
symmetry = Cmmm, No. 65
density = 9.11 g/cm3
crystal system = orthorhombic
total DFT energy (no corrections) = -54.79 eV for the cell shown
calculated volume = 251 Å³/cell
magnetization = 0.00 μB/f.u.

abc: 4.900 6.975 7.744
angles: 90.00 71.56 90.00
Sites, in units of the cell vectors:
Ho 0.169 0.748 0.663
Ho 0.500 0.256 0.000
Ho 0.500 0.744 0.000
Ho 0.831 0.252 0.337
Ho 0.169 0.252 0.663
Ho 0.831 0.748 0.337
Cu 0.000 0.500 0.000
Cu 0.667 0.500 0.666
Cu 0.333 0.500 0.334
Cu 0.337 0.000 0.326
Cu 0.663 0.000 0.674
Ga 0.000 0.000 0.000

***

[3]
The following is a PBE calculation of an optimized crystal structure of Ho2Ga3Cu, from Alexandria.

Properties
symmetry = Fmmm, No. 69
density = 8.44 g/cm3
crystal system = orthorhombic
total DFT energy (no corrections) = -51.78 eV for the cell shown
ΔE to the lowest computed polymorph = 5 meV per atom
calculated volume = 237 Å³/cell
magnetization = 0.00 μB/f.u.

abc: 5.655 5.655 8.362
angles: 106.05 106.05 100.50
Sites, in units of the cell vectors:
Ga 0.832 0.338 0.170
Ga 0.662 0.168 0.830
Ga 0.168 0.662 0.830
Ga 0.169 0.169 0.338
Ga 0.831 0.831 0.662
Ga 0.338 0.832 0.170
Ho 0.250 0.750 0.500
Ho 0.745 0.745 0.000
Ho 0.255 0.255 0.000
Ho 0.750 0.250 0.500
Cu 0.333 0.333 0.665
Cu 0.667 0.667 0.335